Record 1
This record from Alexandria describes a relaxed La2MnP3Pt4 crystal. The functional is PBE.

Computed properties:
E_form   -0.925 eV/atom
Volume   18.35 Å³ per atom

extended XYZ file:
```
10
Lattice="4.270 0.000 0.000 0.000 4.270 0.000 0.000 0.000 10.064" Properties=species:S:1:pos:R:3 pbc="T T T"
La 0.000 2.135 2.470
La 2.135 0.000 7.594
Mn 0.000 0.000 5.032
P 0.000 2.135 8.734
P 2.135 0.000 1.330
P 2.135 2.135 5.032
Pt 0.000 0.000 0.000
Pt 0.000 2.135 6.360
Pt 2.135 0.000 3.704
Pt 2.135 2.135 0.000
```

Record 2
This record from Alexandria describes a relaxed RbLaMn2P crystal. The functional is PBE.

Computed properties:
E_form   0.884 eV/atom
Volume   38.03 Å³ per atom

extended XYZ file:
```
5
Lattice="5.843 0.000 0.000 0.000 5.843 0.000 0.000 0.000 5.570" Properties=species:S:1:pos:R:3 pbc="T T T"
Rb 0.000 0.000 0.000
La 2.921 2.921 2.785
Mn 0.000 2.921 2.785
Mn 2.921 0.000 2.785
P 2.921 2.921 0.000
```

Record 3
This record from Alexandria describes a relaxed LaMnP2Rh crystal. The functional is PBE.

Computed properties:
E_form   -1.010 eV/atom
Volume   17.09 Å³ per atom

extended XYZ file:
```
5
Lattice="-1.980 1.980 5.446 1.980 -1.980 5.446 1.980 1.980 -5.446" Properties=species:S:1:pos:R:3 pbc="T T T"
La 0.000 0.000 0.000
Mn 0.000 1.980 2.723
P 0.000 0.000 3.892
P 0.000 0.000 7.001
Rh 1.980 0.000 2.723
```

Record 4
This record from Alexandria describes a relaxed LaMnP2Ru crystal. The functional is PBE.

Computed properties:
E_form   -0.962 eV/atom
Volume   16.96 Å³ per atom

extended XYZ file:
```
5
Lattice="-2.008 2.008 5.258 2.008 -2.008 5.258 2.008 2.008 -5.258" Properties=species:S:1:pos:R:3 pbc="T T T"
La 0.000 0.000 0.000
Mn 0.000 2.008 2.629
P 0.000 0.000 3.728
P 0.000 0.000 6.788
Ru 2.008 0.000 2.629
```

Record 5
This record from Alexandria describes a relaxed LaMnPS2 crystal. The functional is PBE.

Computed properties:
Energy above the most stable polymorph in this dataset   0 meV/atom
Uncorrected formation energy   -0.915 eV/atom
Volume   19.76 Å³ per atom

extended XYZ file:
```
5
Lattice="4.649 0.000 0.000 0.000 4.649 0.000 0.000 0.000 4.572" Properties=species:S:1:pos:R:3 pbc="T T T"
La 0.000 0.000 0.000
Mn 2.325 2.325 2.286
P 2.325 2.325 0.000
S 0.000 2.325 2.286
S 2.325 0.000 2.286
```

Record 6
This record from Alexandria describes a relaxed LaMnPS2 crystal. The functional is PBE.

Computed properties:
Energy above the most stable polymorph in this dataset   1268 meV/atom
Uncorrected formation energy   0.353 eV/atom
Volume   33.16 Å³ per atom

extended XYZ file:
```
5
Lattice="5.432 0.000 0.000 0.000 5.432 0.000 0.000 0.000 5.620" Properties=species:S:1:pos:R:3 pbc="T T T"
La 0.000 0.000 0.000
Mn 2.716 2.716 2.810
P 0.000 0.000 2.810
S 0.000 2.716 0.000
S 2.716 0.000 0.000
```